(1)
Below is a geometry-optimized BiSbPd2 structure, with properties calculated at the PBE level.

Computed properties:
As for the space group: R3m. Its total energy is -57.78 eV per cell. The crystal system is trigonal. Its energy relative to the elements, uncorrected is -0.217 eV per atom.

Cell and atoms, written as POSCAR:
```
BiSbPd2
1.0
4.1757 0.0000 0.0000
-2.0879 3.6163 0.0000
0.0000 0.0000 18.0213
Bi Sb Pd
3 3 6
Direct
0.0000 0.0000 0.0000
0.3333 0.6667 0.6667
0.6667 0.3333 0.3333
0.0000 0.0000 0.1740
0.3333 0.6667 0.8407
0.6667 0.3333 0.5074
0.0000 0.0000 0.5817
0.0000 0.0000 0.7585
0.3333 0.6667 0.2484
0.3333 0.6667 0.4251
0.6667 0.3333 0.0918
0.6667 0.3333 0.9151
```

=====

(2)
Below is a geometry-optimized CaCuAu2 structure, with properties calculated at the PBE level.

Computed properties:
As for the space group: F-43m. Its total energy is -56.16 eV per cell. The crystal system is cubic. Its formation energy is -134 kJ/mol of formula units.

Cell and atoms, written as POSCAR:
```
CaCuAu2
1.0
6.7655 0.0000 0.0000
0.0000 6.7655 0.0000
0.0000 0.0000 6.7655
Ca Cu Au
4 4 8
Direct
0.0000 0.0000 0.0000
0.0000 0.5000 0.5000
0.5000 0.0000 0.5000
0.5000 0.5000 0.0000
0.2500 0.2500 0.2500
0.2500 0.7500 0.7500
0.7500 0.2500 0.7500
0.7500 0.7500 0.2500
0.0000 0.0000 0.5000
0.0000 0.5000 0.0000
0.2500 0.2500 0.7500
0.2500 0.7500 0.2500
0.5000 0.0000 0.0000
0.5000 0.5000 0.5000
0.7500 0.2500 0.2500
0.7500 0.7500 0.7500
```

=====

(3)
Below is a geometry-optimized Pm8Nd4Sm3 structure, with properties calculated at the PBE level.

Computed properties:
As for the space group: R-3m. Its total energy is -69.40 eV per cell. The crystal system is trigonal. Its formation energy is 177 kJ/mol of formula units.

Cell and atoms, written as POSCAR:
```
Pm8Nd4Sm3
1.0
3.5450 2.0467 12.0967
-3.5450 2.0467 12.0967
0.0000 -4.0934 12.0967
Pm Nd Sm
8 4 3
Direct
0.2462 0.2462 0.2462
0.2477 0.7502 0.7503
0.2497 0.2498 0.7523
0.2497 0.7523 0.2497
0.7503 0.2477 0.7503
0.7503 0.7503 0.2477
0.7523 0.2497 0.2497
0.7538 0.7538 0.7538
0.0000 0.0000 0.0000
0.3362 0.3362 0.3362
0.5000 0.5000 0.5000
0.6638 0.6638 0.6638
0.0000 0.0000 0.5000
0.0000 0.5000 0.0000
0.5000 0.0000 0.0000
```

=====

(4)
Below is a geometry-optimized PaTi2Mo structure, with properties calculated at the PBE level.

Computed properties:
As for the space group: Fm-3m. Its total energy is -143.38 eV per cell. The crystal system is cubic. Its formation energy is 26 kJ/mol of formula units.

Cell and atoms, written as POSCAR:
```
PaTi2Mo
1.0
6.6004 0.0000 0.0000
0.0000 6.6004 0.0000
0.0000 0.0000 6.6004
Pa Ti Mo
4 8 4
Direct
0.0000 0.0000 0.0000
0.0000 0.5000 0.5000
0.5000 0.0000 0.5000
0.5000 0.5000 0.0000
0.2500 0.2500 0.2500
0.2500 0.2500 0.7500
0.2500 0.7500 0.2500
0.2500 0.7500 0.7500
0.7500 0.2500 0.2500
0.7500 0.2500 0.7500
0.7500 0.7500 0.2500
0.7500 0.7500 0.7500
0.0000 0.0000 0.5000
0.0000 0.5000 0.0000
0.5000 0.0000 0.0000
0.5000 0.5000 0.5000
```

=====

(5)
Below is a geometry-optimized Er5BiAs6 structure, with properties calculated at the PBE level.

Computed properties:
As for the space group: C2/m. Its total energy is -69.08 eV per cell. The crystal system is monoclinic. Its formation energy is -1398 kJ/mol of formula units.

Cell and atoms, written as POSCAR:
```
Er5BiAs6
1.0
3.5714 -6.1896 0.0000
3.5714 6.1896 0.0000
-2.3815 0.0000 6.7294
Er Bi As
5 1 6
Direct
0.0000 0.0000 0.0000
0.1677 0.8323 0.5000
0.3355 0.6645 0.0000
0.6645 0.3355 0.0000
0.8323 0.1677 0.5000
0.5000 0.5000 0.5000
0.0751 0.4152 0.2461
0.2444 0.2444 0.7543
0.4152 0.0751 0.2461
0.5848 0.9249 0.7539
0.7556 0.7556 0.2457
0.9249 0.5848 0.7539
```

=====

(6)
Below is a geometry-optimized Th3Bi structure, with properties calculated at the PBE level.

Computed properties:
As for the space group: Pm-3m. Its total energy is -27.10 eV per cell. The crystal system is cubic. Its formation energy is -93 kJ/mol of formula units.

Cell and atoms, written as POSCAR:
```
Th3Bi
1.0
4.9789 0.0000 0.0000
0.0000 4.9789 0.0000
0.0000 0.0000 4.9789
Th Bi
3 1
Direct
0.0000 0.0000 0.5000
0.0000 0.5000 0.0000
0.5000 0.0000 0.0000
0.5000 0.5000 0.5000
```

=====

(7)
Below is a geometry-optimized Tb3Dy2Er5 structure, with properties calculated at the PBE level.

Computed properties:
As for the space group: Ibam. Its total energy is -84.72 eV per cell. The crystal system is orthorhombic. Its formation energy is 342 kJ/mol of formula units.

Cell and atoms, written as POSCAR:
```
Tb3Dy2Er5
1.0
-6.3547 8.3851 3.1085
6.3547 -8.3851 3.1085
6.3547 8.3851 -3.1085
Tb Dy Er
6 4 10
Direct
0.2488 0.1590 0.4078
0.2500 0.2500 0.0000
0.2512 0.6590 0.9102
0.7488 0.3410 0.0898
0.7500 0.7500 0.0000
0.7512 0.8410 0.5922
0.1565 0.8990 0.0556
0.3435 0.3990 0.7425
0.6565 0.6010 0.2575
0.8435 0.1010 0.9444
0.1562 0.4016 0.5578
0.2500 0.5014 0.2514
0.2500 0.7500 0.5000
0.2500 0.9986 0.7486
0.3438 0.9016 0.2454
0.6562 0.0984 0.7546
0.7500 0.0014 0.2514
0.7500 0.2500 0.5000
0.7500 0.4986 0.7486
0.8438 0.5984 0.4422
```

=====

(8)
Below is a geometry-optimized LaMg2TiO6 structure, with properties calculated at the PBE level.

Computed properties:
As for the space group: Fm-3m. Its total energy is -65.45 eV per cell. The crystal system is cubic. Its energy relative to the elements, uncorrected is -1.969 eV per atom.

Cell and atoms, written as POSCAR:
```
LaMg2TiO6
1.0
0.0000 4.2076 4.2076
4.2076 0.0000 4.2076
4.2076 4.2076 0.0000
La Mg Ti O
1 2 1 6
Direct
0.0000 0.0000 0.0000
0.2500 0.2500 0.2500
0.7500 0.7500 0.7500
0.5000 0.5000 0.5000
0.2703 0.2703 0.7297
0.2703 0.7297 0.2703
0.2703 0.7297 0.7297
0.7297 0.2703 0.2703
0.7297 0.2703 0.7297
0.7297 0.7297 0.2703
```